# 1
This record from Alexandria via LeMat-Bulk describes a geometry-optimized ScHg2Ir structure. The functional is GGA-PBE. Values from VASP.

Properties
formation enthalpy at 0 K	-0.05	eV per atom
energy above the most stable polymorph in this dataset	233.9	meV/atom

The structure in Quantum ESPRESSO input format:
```
&SYSTEM
  ibrav = 0, nat = 4, ntyp = 3
/
ATOMIC_SPECIES
Hg 200.59 Hg.upf
Ir 192.22 Ir.upf
Sc 44.96 Sc.upf
ATOMIC_POSITIONS angstrom
Hg -0.011 0.011 0.042
Hg -0.714 0.712 2.669
Ir -2.891 0.308 0.693
Sc -3.617 1.031 3.404
CELL_PARAMETERS angstrom
-1.729 2.397 -1.102
-3.328 -2.503 -0.223
-1.451 1.446 5.423
```

---

# 2
This record from Alexandria via LeMat-Bulk describes a geometry-optimized Li3ThPd3 structure. The functional is GGA-PBE. Values from VASP.

Properties
formation enthalpy at 0 K	0.03	eV per atom

The structure in Quantum ESPRESSO input format:
```
&SYSTEM
  ibrav = 0, nat = 14, ntyp = 3
/
ATOMIC_SPECIES
Pd 106.42 Pd.upf
Th 232.04 Th.upf
Li 6.94 Li.upf
ATOMIC_POSITIONS angstrom
Pd 0.062 2.072 2.894
Pd -1.574 1.037 5.421
Pd -1.267 5.420 1.400
Pd -5.515 1.268 0.961
Pd -2.146 2.830 -0.230
Pd -2.929 -0.267 2.005
Th -3.342 3.090 3.113
Th 0.000 0.000 0.000
Li -0.414 3.357 1.107
Li -1.196 0.260 3.342
Li -5.039 -0.017 2.747
Li -3.000 4.893 0.063
Li -0.317 2.849 4.972
Li -3.404 1.018 0.219
CELL_PARAMETERS angstrom
-5.172 3.071 -2.089
-3.271 -2.070 5.055
1.759 5.179 3.260
```

---

# 3
This record from Alexandria via LeMat-Bulk describes a geometry-optimized Pt3SBr structure. The functional is GGA-PBE. Values from VASP.

Properties
energy above the most stable polymorph in this dataset	868.8	meV/atom
formation energy without anion corrections	1.4751	eV/atom

The structure in Quantum ESPRESSO input format:
```
&SYSTEM
  ibrav = 0, nat = 5, ntyp = 3
/
ATOMIC_SPECIES
S 32.06 S.upf
Br 79.90 Br.upf
Pt 195.08 Pt.upf
ATOMIC_POSITIONS angstrom
S 2.384 2.384 2.384
Br 0.000 0.000 0.000
Pt 0.000 2.384 0.000
Pt 0.000 0.000 2.384
Pt 2.384 0.000 0.000
CELL_PARAMETERS angstrom
4.768 0.000 0.000
0.000 4.768 0.000
0.000 0.000 4.768
```

---

# 4
This record from Alexandria via LeMat-Bulk describes a geometry-optimized NpAlCd2O6 structure. The functional is GGA-PBE. Values from VASP.

Properties
formation energy without anion corrections	-2.1303	eV/atom

The structure in Quantum ESPRESSO input format:
```
&SYSTEM
  ibrav = 0, nat = 10, ntyp = 4
/
ATOMIC_SPECIES
Np 237.00 Np.upf
Al 26.98 Al.upf
Cd 112.41 Cd.upf
O 16.00 O.upf
ATOMIC_POSITIONS angstrom
Np 8.260 4.769 2.608
Al 2.753 1.590 0.243
Cd 5.506 3.179 1.271
Cd 2.753 1.590 3.959
O 4.329 1.292 1.346
O 4.461 5.143 1.346
O 7.730 3.103 1.346
O 6.550 4.394 3.865
O 6.036 1.668 3.865
O 3.932 3.476 3.865
CELL_PARAMETERS angstrom
5.506 0.000 0.000
2.753 4.769 0.000
2.753 1.590 4.728
```